[1]
YTlFeCo: optimized geometry, PBE.

Cell: 6.6723 6.6723 6.6723 Å, 90.00 90.00 90.00°
Space group F-43m (No. 216)
Inequivalent atoms, fractional coordinates:
Y  0.0000  0.0000  0.0000 x4
Tl  0.2500  0.2500  0.2500 x4
Fe  0.2500  0.2500  0.7500 x4
Co  0.0000  0.0000  0.5000 x4

Values from the calculation:
The calculation puts the volume at 18.6 Å³/atom. As for the total moment: 4.4 μB per formula unit.

[2]
BaHgAs2: optimized geometry, PBE.

Cell: 7.5734 7.5734 7.5734 Å, 90.00 90.00 90.00°
Space group F-43m (No. 216)
Inequivalent atoms, fractional coordinates:
Ba  0.0000  0.0000  0.0000 x4
Hg  0.2500  0.2500  0.2500 x4
As  0.0000  0.0000  0.5000 x4
As  0.2500  0.2500  0.7500 x4

Values from the calculation:
The calculation puts the volume at 27.1 Å³/atom.

Number 1: raw total energy -5.7489 eV per atom, ρ 9.125 g/cm3. Number 2: raw total energy -3.0605 eV per atom, ρ 7.458 g/cm3.